Below is MnNbS2N after structural relaxation, with properties calculated at the PBE-GGA level.

Theoretical density: 4.0 g/cm3
Magnetization: 5.07 μB per cell
Offset from the most stable computed form: 0.000 eV per formula unit
Formation energy (no corrections): 0.0249 eV per atom
DOS at the Fermi energy: 0.32 states/eV/atom
E_tot: -7.14 eV/atom

Cell and atoms, written as POSCAR:
```
MnNbS2N
1.0
4.934 0.000 0.000
0.000 4.934 0.000
0.000 0.000 3.887
Mn Nb S N
1 1 2 1
direct
0.000 0.000 0.000
0.500 0.500 0.500
0.000 0.500 0.500
0.500 0.000 0.500
0.500 0.500 0.000
```